No. 1
# SrSb2TeS (PBE, relaxed)
data_SrSb2TeS
_chemical_formula_sum 'Sr1 Sb2 Te1 S1'
_cell_length_a 6.1362
_cell_length_b 6.1362
_cell_length_c 5.9828
_cell_angle_alpha 90.00
_cell_angle_beta 90.00
_cell_angle_gamma 90.00
_symmetry_space_group_name_H-M 'P 1'
_symmetry_Int_Tables_number 1
loop_
_symmetry_equiv_pos_as_xyz
'x,y,z'
loop_
_atom_site_label
_atom_site_type_symbol
_atom_site_fract_x
_atom_site_fract_y
_atom_site_fract_z
Sr1 Sr 0.0000 0.0000 0.0000
Sb1 Sb 0.0000 0.5000 0.0000
Sb2 Sb 0.5000 0.0000 0.0000
Te1 Te 0.0000 0.0000 0.5000
S1 S 0.5000 0.5000 0.5000
# - Total magnetic moment: 0.319 μB per atom
# - Space-group type: P4/mmm, No. 123
# - Density of states at the Fermi level: 1.27 states/eV per atom
# - Formation energy (no corrections): 0.973 eV/atom
# - Relative energy among the computed polymorphs: 1.1679 eV/atom


No. 2
# SrTl3Sb2S6 (PBE, relaxed)
data_SrTl3Sb2S6
_chemical_formula_sum 'Sr1 Tl3 Sb2 S6'
_cell_length_a 7.1098
_cell_length_b 7.1098
_cell_length_c 7.6470
_cell_angle_alpha 98.89
_cell_angle_beta 98.89
_cell_angle_gamma 119.39
_symmetry_space_group_name_H-M 'P 1'
_symmetry_Int_Tables_number 1
loop_
_symmetry_equiv_pos_as_xyz
'x,y,z'
loop_
_atom_site_label
_atom_site_type_symbol
_atom_site_fract_x
_atom_site_fract_y
_atom_site_fract_z
Sr1 Sr 0.0000 0.0000 0.0000
Tl1 Tl 0.1588 0.8412 0.5000
Tl2 Tl 0.5000 0.5000 0.5000
Tl3 Tl 0.8412 0.1588 0.5000
Sb1 Sb 0.3341 0.6659 0.0000
Sb2 Sb 0.6659 0.3341 0.0000
S1 S 0.0760 0.4305 0.2170
S2 S 0.2918 0.2918 0.7990
S3 S 0.4305 0.0760 0.2170
S4 S 0.5695 0.9240 0.7830
S5 S 0.7082 0.7082 0.2010
S6 S 0.9240 0.5695 0.7830
# - Total magnetic moment: 0.000 μB per atom
# - Space-group type: C2/m, No. 12
# - Density of states at the Fermi level: 0.54 states/eV per atom
# - Formation energy (no corrections): -0.589 eV/atom